[1]
# TiSnIr2Rh PBE relaxed
# Density of states at the Fermi level = 7.77 states/eV/cell
# Crystal system = tetragonal
# Energy of formation from the pure elements = 4.75 eV/f.u.
# Magnetic moment = 0.98 μB/f.u.
data_TiSnIr2Rh
_symmetry_space_group_name_H-M 'P 4/m m m'
_symmetry_Int_Tables_number 123
_symmetry_space_group_name_Hall '-P 4 2'
_cell_length_a 4.8728
_cell_length_b 4.8728
_cell_length_c 4.4102
_cell_angle_alpha 90.00
_cell_angle_beta 90.00
_cell_angle_gamma 90.00
loop_
_atom_site_label
_atom_site_fract_x
_atom_site_fract_y
_atom_site_fract_z
Ti1 0.0000 0.0000 0.0000
Sn1 0.5000 0.5000 0.0000
Ir1 0.0000 0.5000 0.5000
Rh1 0.0000 0.0000 0.5000


[2]
# Sm5ZnGa2 PBE relaxed
# Density of states at the Fermi level = 26.64 states/eV/cell
# Crystal system = tetragonal
# Energy of formation from the pure elements = -2.88 eV/f.u.
# Magnetic moment = 0.00 μB/f.u.
data_Sm5ZnGa2
_symmetry_space_group_name_H-M 'I 4/m c m'
_symmetry_Int_Tables_number 140
_symmetry_space_group_name_Hall '-I 4 2c'
_cell_length_a 7.6440
_cell_length_b 7.6440
_cell_length_c 15.0464
_cell_angle_alpha 90.00
_cell_angle_beta 90.00
_cell_angle_gamma 90.00
loop_
_atom_site_label
_atom_site_fract_x
_atom_site_fract_y
_atom_site_fract_z
Sm1 0.0000 0.0000 0.0000
Sm2 0.1734 0.3266 0.1476
Zn1 0.0000 0.0000 0.2500
Ga1 0.1186 0.3814 0.5000


[3]
# GdTc3C PBE relaxed
# Density of states at the Fermi level = 4.31 states/eV/cell
# Crystal system = cubic
# Energy of formation from the pure elements = 0.34 eV/f.u.
# Magnetic moment = 5.00 μB/f.u.
data_GdTc3C
_symmetry_space_group_name_H-M 'P m -3 m'
_symmetry_Int_Tables_number 221
_symmetry_space_group_name_Hall '-P 4 2 3'
_cell_length_a 4.2288
_cell_length_b 4.2288
_cell_length_c 4.2288
_cell_angle_alpha 90.00
_cell_angle_beta 90.00
_cell_angle_gamma 90.00
loop_
_atom_site_label
_atom_site_fract_x
_atom_site_fract_y
_atom_site_fract_z
Gd1 0.0000 0.0000 0.0000
Tc1 0.0000 0.5000 0.5000
C1 0.5000 0.5000 0.5000


[4]
# HfBe5Fe7 PBE relaxed
# Density of states at the Fermi level = 19.13 states/eV/cell
# Crystal system = orthorhombic
# Energy of formation from the pure elements = -2.65 eV/f.u.
# Magnetic moment = 11.96 μB/f.u.
data_HfBe5Fe7
_symmetry_space_group_name_H-M 'I m m 2'
_symmetry_Int_Tables_number 44
_cell_length_a 4.4472
_cell_length_b 7.7670
_cell_length_c 7.8945
_cell_angle_alpha 90.00
_cell_angle_beta 90.00
_cell_angle_gamma 90.00
loop_
_symmetry_equiv_pos_as_xyz
'x,y,z'
'-x,-y,z'
'-x,y,z'
'x,-y,z'
'x+1/2,y+1/2,z+1/2'
'-x+1/2,-y+1/2,z+1/2'
'-x+1/2,y+1/2,z+1/2'
'x+1/2,-y+1/2,z+1/2'
loop_
_atom_site_label
_atom_site_fract_x
_atom_site_fract_y
_atom_site_fract_z
Hf1 0.0000 0.0000 0.0000
Be1 0.0000 0.5000 0.7261
Be2 0.2500 0.2454 0.2473
Fe1 0.0000 0.0000 0.3576
Fe2 0.0000 0.0000 0.6440
Fe3 0.0000 0.2903 0.4978
Fe4 0.0000 0.3537 0.9991
Fe5 0.0000 0.5000 0.2769


[5]
# TlSe2Br PBE relaxed
# Formation energy from raw total energies = 0.060 eV/atom
# Density of states at the Fermi level = 6.10 states/eV/cell
# Energy relative to the lowest polymorph listed for this composition = 0.3354 eV per atom
# Crystal system = monoclinic
# Magnetic moment = 0.00 μB/f.u.
data_TlSe2Br
_symmetry_space_group_name_H-M 'C 1 2/m 1'
_symmetry_Int_Tables_number 12
_cell_length_a 6.2581
_cell_length_b 8.3941
_cell_length_c 5.1730
_cell_angle_alpha 90.00
_cell_angle_beta 126.07
_cell_angle_gamma 90.00
loop_
_symmetry_equiv_pos_as_xyz
'x,y,z'
'-x,-y,-z'
'-x,y,-z'
'x,-y,z'
'x+1/2,y+1/2,z'
'-x+1/2,-y+1/2,-z'
'-x+1/2,y+1/2,-z'
'x+1/2,-y+1/2,z'
loop_
_atom_site_label
_atom_site_fract_x
_atom_site_fract_y
_atom_site_fract_z
Tl1 0.0000 0.0000 0.0000
Se1 0.2500 0.2500 0.5000
Br1 0.0000 0.5000 0.0000